No. 1
KPdSeBr2: optimized geometry, PBE-GGA.

a b c (Å): 5.3960 5.3960 4.9179
angles (deg): 90.00 90.00 90.00
Closest atoms and distances in Å follow each position.
Atoms (fractional coordinates):
K 0.0000 0.0000 0.0000  8 Br 3.65, 4 Se 3.82
Pd 0.5000 0.5000 0.5000  2 Se 2.46, 4 Br 2.70
Se 0.5000 0.5000 0.0000  2 Pd 2.46
Br 0.0000 0.5000 0.5000  2 Pd 2.70
Br 0.5000 0.0000 0.5000  2 Pd 2.70

Properties
E above lowest polymorph = 0.000 eV per atom
space-group type = No. 123
volume = 28.6 A^3/atom
formation energy without anion corrections = -0.613 eV/atom



No. 2
KPdSe2Br: optimized geometry, PBE-GGA.

a b c (Å): 6.0082 6.0082 5.8776
angles (deg): 90.00 90.00 90.00
Closest atoms and distances in Å follow each position.
Atoms (fractional coordinates):
K 0.0000 0.0000 0.0000  2 Br 2.94, 4 Se 3.00
Pd 0.5000 0.5000 0.5000  8 Se 4.20, 4 Br 4.25
Se 0.0000 0.5000 0.0000  2 K 3.00
Se 0.5000 0.0000 0.0000  2 K 3.00
Br 0.0000 0.0000 0.5000  2 K 2.94

Properties
E above lowest polymorph = 1.288 eV per atom
space-group type = No. 123
volume = 42.4 A^3/atom
formation energy without anion corrections = 0.897 eV/atom



No. 3
KPd2SeBr: optimized geometry, PBE-GGA.

a b c (Å): 4.8476 4.8476 5.8801
angles (deg): 90.00 90.00 90.00
Closest atoms and distances in Å follow each position.
Atoms (fractional coordinates):
K 0.0000 0.0000 0.0000  2 Br 2.94
Pd 0.0000 0.5000 0.5000  2 Br 2.42
Pd 0.5000 0.0000 0.5000  2 Br 2.42
Se 0.5000 0.5000 0.0000  4 K 3.43, 8 Pd 3.81
Br 0.0000 0.0000 0.5000  4 Pd 2.42

Properties
space-group type = No. 123
volume = 27.6 A^3/atom
formation energy without anion corrections = 0.146 eV/atom



No. 4
KTiPdBr6: optimized geometry, PBE-GGA.

a b c (Å): 6.8222 6.8222 7.0516
angles (deg): 93.98 93.98 112.61
Closest atoms and distances in Å follow each position.
Atoms (fractional coordinates):
K 0.0000 0.0000 0.0000  6 Br 3.33-3.44
Ti 0.6347 0.3653 0.5000  6 Br 2.44-2.65
Pd 0.2862 0.7138 0.5000  4 Br 2.54-2.56
Br 0.3338 0.4257 0.2824  1 Pd 2.54, 1 Ti 2.65
Br 0.3371 0.0796 0.6617  1 Pd 2.56, 1 Ti 2.61
Br 0.5743 0.6662 0.7176  1 Pd 2.54, 1 Ti 2.65
Br 0.6233 0.0926 0.2510  1 Ti 2.44
Br 0.9074 0.3767 0.7490  1 Ti 2.44
Br 0.9204 0.6629 0.3383  1 Pd 2.56, 1 Ti 2.61

Properties
space-group type = No. 5
volume = 33.4 A^3/atom
formation energy without anion corrections = -0.997 eV/atom



Which value of formation energy without anion corrections does entry 1 give? -0.613 eV/atom



Among the records above, which one has the lowest volume? KPd2SeBr